1.
An optimized crystal structure of TiNbCr3, computed with PBE.

```
TiNbCr3
1.0
-0.152 4.026 1.483
-4.254 0.052 -0.576
-0.558 -1.490 3.987
Cr Ti Nb
3 1 1
Cartesian
-0.076 2.013 0.742
-2.127 0.026 -0.288
-0.279 -0.745 1.994
0.000 0.000 0.000
-2.482 1.294 2.447
```

Energy above the lowest structure with this stoichiometry (meV per atom): 0.0
N(E_F) (states/eV/atom): 0.772

=====

2.
An optimized crystal structure of InNi2C, computed with PBE.

```
InNi2C
1.0
2.893 -1.727 -2.378
0.613 -4.076 0.130
-1.098 -2.353 -3.203
Ni C In
2 1 1
Cartesian
1.805 -6.117 -4.088
0.602 -2.039 -1.363
0.000 0.000 0.000
1.203 -4.078 -2.726
```

Energy above the lowest structure with this stoichiometry (meV per atom): 718.2
N(E_F) (states/eV/atom): 0.463

=====

3.
An optimized crystal structure of YTaOsRh, computed with PBE.

```
YTaOsRh
1.0
4.656 0.000 0.000
2.328 4.033 0.000
2.328 1.344 3.802
Os Y Ta Rh
1 1 1 1
Cartesian
2.328 1.344 0.950
4.656 2.688 1.901
0.000 0.000 0.000
6.985 4.033 2.851
```

N(E_F) (states/eV/atom): 0.755

=====

4.
An optimized crystal structure of KOsBr3, computed with PBE.

```
KOsBr3
1.0
5.954 0.000 0.000
0.000 5.954 0.000
0.000 0.000 5.954
K Br Os
1 3 1
Cartesian
0.000 0.000 0.000
2.977 0.000 0.000
0.000 2.977 0.000
0.000 0.000 2.977
2.977 2.977 2.977
```

Energy relative to the elements, uncorrected (eV/atom): 1.083
Energy above the lowest structure with this stoichiometry (meV per atom): 1303.2
N(E_F) (states/eV/atom): 1.888

=====

5.
An optimized crystal structure of Cs2PdWSe4, computed with PBE.

```
Cs2PdWSe4
1.0
5.827 0.000 0.000
2.913 7.478 0.000
2.913 0.000 12.758
Pd Se Cs W
2 8 4 2
Cartesian
0.000 0.000 0.000
7.284 3.739 6.379
10.052 6.061 11.360
5.682 5.156 4.981
8.885 5.156 7.777
4.515 1.417 11.360
4.225 1.417 1.398
5.682 2.322 7.777
4.515 6.061 1.398
3.058 2.322 4.981
2.913 0.000 8.213
5.827 0.000 4.545
7.284 3.739 10.924
7.284 3.739 1.834
4.370 3.739 6.379
2.913 0.000 0.000
```

Energy relative to the elements, uncorrected (eV/atom): -0.811

=====

6.
An optimized crystal structure of UPbO2, computed with PBE.

```
UPbO2
1.0
-3.545 -2.060 1.276
-0.057 -2.038 3.779
-3.086 3.482 4.271
U Pb O
1 1 2
Cartesian
0.000 0.000 0.000
-3.344 -0.308 4.663
-2.459 1.869 3.410
-4.229 -2.485 5.915
```

Energy relative to the elements, uncorrected (eV/atom): -1.417
N(E_F) (states/eV/atom): 1.948

=====

7.
An optimized crystal structure of GePPd, computed with PBE.

```
GePPd
1.0
-1.999 -0.856 -2.793
2.869 0.061 -2.072
0.172 -3.401 3.162
P Ge Pd
1 1 1
Cartesian
0.345 -2.160 0.415
0.574 -1.265 -2.266
0.983 -3.827 -1.775
```

Energy above the lowest structure with this stoichiometry (meV per atom): 277.6
N(E_F) (states/eV/atom): 0.458

=====

8.
An optimized crystal structure of Al2AuN, computed with PBE.

```
Al2AuN
1.0
-3.808 -1.422 -3.819
-2.434 -3.397 3.692
-5.361 0.461 1.102
Al N Au
4 2 2
Cartesian
-9.249 -3.545 0.362
-6.595 -1.787 1.133
-3.703 -2.322 1.740
-3.659 -1.062 -1.284
-5.458 -2.673 2.365
-3.121 -2.410 -0.063
-6.145 -1.685 -1.390
0.000 0.000 0.000
```

Energy relative to the elements, uncorrected (eV/atom): -0.640
N(E_F) (states/eV/atom): 0.000

=====

9.
An optimized crystal structure of PmZn2GaCo, computed with PBE.

```
PmZn2GaCo
1.0
-1.730 0.732 3.765
3.298 -1.748 1.855
1.540 5.083 -2.632
Zn Pm Ga Co
2 1 1 1
Cartesian
0.014 2.097 1.950
0.302 0.595 0.023
2.041 4.018 0.157
2.273 2.423 2.924
2.572 0.944 0.999
```

N(E_F) (states/eV/atom): 1.008

=====

10.
An optimized crystal structure of MgCrRhAu, computed with PBE.

```
MgCrRhAu
1.0
4.472 0.000 0.000
2.236 3.873 0.000
2.236 1.291 3.652
Rh Cr Au Mg
1 1 1 1
Cartesian
2.236 1.291 0.913
0.000 0.000 0.000
6.708 3.873 2.739
4.472 2.582 1.826
```

N(E_F) (states/eV/atom): 1.274

=====

11.
An optimized crystal structure of ZnPb3Au, computed with PBE.

```
ZnPb3Au
1.0
5.582 0.000 0.000
0.000 5.582 0.000
0.000 0.000 5.582
Zn Au Pb
1 1 3
Cartesian
2.791 2.791 2.791
0.000 0.000 0.000
0.000 2.791 0.000
2.791 0.000 0.000
0.000 0.000 2.791
```

Energy above the lowest structure with this stoichiometry (meV per atom): 3.9
N(E_F) (states/eV/atom): 0.852

=====

12.
An optimized crystal structure of GaFe2Ge, computed with PBE.

```
GaFe2Ge
1.0
-6.651 -0.451 0.174
0.447 -4.833 4.573
-3.174 -0.835 4.290
Ga Fe Ge
2 4 2
Cartesian
-3.102 -2.642 2.373
-2.915 -4.155 5.618
-7.805 -5.291 7.411
-1.288 -3.282 3.951
-4.952 -1.098 1.755
-4.711 -2.566 4.959
-6.464 -1.964 3.419
0.000 0.000 0.000
```

N(E_F) (states/eV/atom): 0.939

=====

13.
An optimized crystal structure of LiHoZrNi, computed with PBE.

```
LiHoZrNi
1.0
4.752 0.000 0.000
2.376 4.116 0.000
2.376 1.372 3.880
Ho Zr Li Ni
1 1 1 1
Cartesian
0.000 0.000 0.000
4.752 2.744 1.940
7.128 4.116 2.910
2.376 1.372 0.970
```

N(E_F) (states/eV/atom): 1.411

=====

14.
An optimized crystal structure of K2BaPdO4, computed with PBE.

```
K2BaPdO4
1.0
-2.225 5.419 3.564
-1.974 -1.519 7.672
9.345 4.943 4.915
O Ba Pd K
8 2 2 4
Cartesian
6.568 5.778 12.446
-0.526 0.882 2.270
-3.070 3.147 9.147
7.320 7.878 8.440
4.042 2.840 5.442
0.888 6.529 11.056
2.543 4.894 6.697
2.820 3.422 9.108
0.000 0.000 0.000
2.017 5.776 8.967
3.129 3.067 7.185
-1.112 2.709 1.782
6.040 6.635 10.172
5.322 4.083 3.710
1.798 6.278 4.769
-2.006 4.917 7.762
```

Energy relative to the elements, uncorrected (eV/atom): -0.987
N(E_F) (states/eV/atom): 0.840

=====

15.
An optimized crystal structure of In2RuCl2, computed with PBE.

```
In2RuCl2
1.0
-0.371 -1.483 3.829
-1.800 -3.396 -1.490
4.989 -5.413 0.605
Cl In Ru
2 2 1
Cartesian
1.766 -4.668 2.801
1.051 -5.624 0.142
2.602 -7.215 1.895
0.216 -3.077 1.048
0.000 0.000 0.000
```

Energy relative to the elements, uncorrected (eV/atom): 0.429
Energy above the lowest structure with this stoichiometry (meV per atom): 266.0
N(E_F) (states/eV/atom): 0.453

=====

16.
An optimized crystal structure of CoSi2Sb, computed with PBE.

```
CoSi2Sb
1.0
4.876 0.000 0.000
0.000 3.665 0.000
0.000 0.000 3.665
Si Co Sb
2 1 1
Cartesian
0.000 1.832 1.832
0.000 0.000 0.000
2.438 1.832 0.000
2.438 0.000 1.832
```

Energy relative to the elements, uncorrected (eV/atom): 0.512
N(E_F) (states/eV/atom): 0.719

=====

17.
An optimized crystal structure of CaTiO2, computed with PBE.

```
CaTiO2
1.0
2.759 0.000 0.000
0.000 2.759 0.000
0.000 0.000 5.589
Ca Ti O
1 1 2
Cartesian
1.380 1.380 2.794
1.380 1.380 0.000
0.000 0.000 4.316
0.000 0.000 1.272
```

Energy relative to the elements, uncorrected (eV/atom): -2.091
Energy above the lowest structure with this stoichiometry (meV per atom): 512.8
N(E_F) (states/eV/atom): 0.405

=====

18.
An optimized crystal structure of PmIn4Rh, computed with PBE.

```
PmIn4Rh
1.0
4.384 0.000 0.000
0.000 7.457 0.000
0.000 0.000 8.548
In Pm Rh
8 2 2
Cartesian
2.192 2.373 8.002
2.192 0.456 2.137
0.000 0.000 4.274
2.192 5.084 0.546
0.000 0.000 0.000
2.192 2.373 4.820
2.192 5.084 3.728
2.192 7.001 6.411
0.000 2.890 2.137
0.000 4.567 6.411
0.000 5.930 2.137
0.000 1.527 6.411
```

N(E_F) (states/eV/atom): 0.298

=====

19.
An optimized crystal structure of BaThBr6, computed with PBE.

```
BaThBr6
1.0
-0.962 5.709 -4.823
-6.837 2.999 -0.961
-1.331 7.459 3.217
Ba Br Th
1 6 1
Cartesian
-4.565 8.083 -1.284
-3.791 7.243 1.784
-5.339 8.923 -4.352
-6.716 10.301 -0.198
-2.179 10.327 -1.343
-6.950 5.839 -1.224
-2.414 5.866 -2.369
0.000 0.000 0.000
```

Energy relative to the elements, uncorrected (eV/atom): -1.888
Energy above the lowest structure with this stoichiometry (meV per atom): 0.0
N(E_F) (states/eV/atom): 0.000

=====

20.
An optimized crystal structure of SiTe2H, computed with PBE.

```
SiTe2H
1.0
-1.482 -0.547 2.895
-2.103 -3.240 -1.688
4.490 -4.723 3.448
Te H Si
2 1 1
Cartesian
0.850 -4.911 3.084
-3.238 -3.987 1.180
1.559 -2.121 2.103
0.704 -2.293 3.511
```

Energy above the lowest structure with this stoichiometry (meV per atom): 122.4
N(E_F) (states/eV/atom): 0.324

=====

no.,DFT total energy (eV per atom)
1,-8.130
2,-4.735
3,-9.550
4,-2.386
5,-5.035
6,-7.645
7,-5.012
8,-5.412
9,-3.745
10,-5.622
11,-2.712
12,-5.799
13,-5.230
14,-4.630
15,-3.261
16,-5.007
17,-7.045
18,-4.268
19,-4.310
20,-3.621